VASP calculation (GGA-PBE) on a relaxed DyH3 crystal.

Geometry as CIF:
```
data_DyH3
_space_group_name_H-M_alt 'P 6/m m m'
_space_group_IT_number 191
_space_group_name_Hall '-P 6 2'
_cell_length_a 3.8127
_cell_length_b 3.8127
_cell_length_c 4.2487
_cell_angle_alpha 90.00
_cell_angle_beta 90.00
_cell_angle_gamma 120.00
loop_
_atom_site_label
_atom_site_type_symbol
_atom_site_fract_x
_atom_site_fract_y
_atom_site_fract_z
_atom_site_occupancy
Dy1 Dy 0.0000 0.0000 0.0000 1
H1 H 0.0000 0.0000 0.5000 1
H2 H 0.3333 0.6667 0.0000 1
```

Values from the calculation:
**Crystal system**: hexagonal
**Energy**: -16.22 eV per cell